1.
An optimized crystal structure of Sr2ReGeP6. Source: OQMD via LeMat-Bulk, functional GGA-PBE. Values from VASP.

## Properties
Space-group type: No. 123
DFT total energy (Ry per atom): -0.3656

```
&SYSTEM
  ibrav = 0, nat = 10, ntyp = 4
/
ATOMIC_SPECIES
P 30.97 P.upf
Sr 87.62 Sr.upf
Ge 72.64 Ge.upf
Re 186.21 Re.upf
CELL_PARAMETERS angstrom
3.5098 0.0000 0.0000
0.0000 3.5098 0.0000
0.0000 0.0000 15.4032
ATOMIC_POSITIONS crystal
P 0.0000 0.5000 0.1624
Sr 0.5000 0.5000 0.3186
Ge 0.0000 0.0000 0.0000
P 0.0000 0.5000 0.8376
P 0.5000 0.5000 0.5000
P 0.5000 0.0000 0.1624
Sr 0.5000 0.5000 0.6814
P 0.5000 0.5000 0.0000
Re 0.0000 0.0000 0.5000
P 0.5000 0.0000 0.8376
```

---

2.
An optimized crystal structure of ZnSi16Ge12P3. Source: OQMD via LeMat-Bulk, functional GGA-PBE. Values from VASP.

## Properties
Space-group type: No. 1
DFT total energy (Ry per atom): -0.3627

```
&SYSTEM
  ibrav = 0, nat = 32, ntyp = 4
/
ATOMIC_SPECIES
Si 28.09 Si.upf
Ge 72.64 Ge.upf
P 30.97 P.upf
Zn 65.41 Zn.upf
CELL_PARAMETERS angstrom
6.7666 0.0000 0.0000
1.1290 10.2919 0.0000
3.3704 1.2042 9.8446
ATOMIC_POSITIONS crystal
Si 0.4948 0.9335 0.6847
Si 0.6169 0.7735 0.8308
Ge 0.1247 0.3282 0.6438
P 0.1452 0.0688 0.3711
Si 0.6227 0.5135 0.5719
Ge 0.0000 0.6271 0.1254
Si 0.5051 0.3089 0.5643
P 0.6241 0.0117 0.0819
Si 0.1228 0.5812 0.8903
Ge 0.4996 0.5667 0.8062
Ge 0.6124 0.2606 0.3306
Si 0.5002 0.8146 0.0627
Ge 0.6295 0.1317 0.7039
Ge 0.4979 0.4471 0.1895
Ge 0.9956 0.7548 0.7472
Si 0.1286 0.8335 0.1436
P 0.0053 0.1211 0.6316
Ge 0.5067 0.1839 0.9384
Si 0.0034 0.3793 0.8759
Ge 0.6284 0.3936 0.9551
Ge 0.1350 0.7041 0.5070
Si 0.9964 0.8799 0.3708
Zn 0.6258 0.8894 0.4549
Si 0.1236 0.9581 0.7706
Si 0.5104 0.6881 0.4365
Si 0.9923 0.4998 0.4989
Ge 0.1189 0.1998 0.0162
Si 0.9913 0.9953 0.0019
Si 0.6213 0.6493 0.2085
Ge 0.9995 0.2477 0.2534
Si 0.5000 0.0513 0.3110
Si 0.1216 0.4539 0.2712
```

---

Number 1: V 18.97 Å³ per atom. Number 2: V 21.42 Å³ per atom.